1.
The following is a DFT calculation (SCAN) of a crystal of KOsWCl2 relaxed with PBEsol.

a b c (Å): 5.081 5.081 4.802
angles (deg): 90.00 90.00 90.00
Space group P4/mmm (No. 123)
Inequivalent atoms, fractional coordinates:
K (0.000, 0.000, 0.000) (multiplicity 1)
Os (0.500, 0.500, 0.500) (multiplicity 1)
W (0.500, 0.500, 0.000) (multiplicity 1)
Cl (0.000, 0.500, 0.500) (multiplicity 2)

Computed properties:
Mass density ... 6484 kg/m3
Raw formation energy ... 740 meV/atom
Density of states at the Fermi level ... 1.99 states/eV per cell
E ... -32.431 eV per atom

2.
The following is a DFT calculation (SCAN) of a crystal of KPCl2 relaxed with PBEsol.

a b c (Å): 4.996 4.996 3.321
angles (deg): 90.00 90.00 90.00
Space group P4/mmm (No. 123)
Inequivalent atoms, fractional coordinates:
K (0.000, 0.000, 0.000) (multiplicity 1)
P (0.500, 0.500, 0.000) (multiplicity 1)
Cl (0.000, 0.500, 0.500) (multiplicity 2)

Computed properties:
Mass density ... 2824 kg/m3
Raw formation energy ... -393 meV/atom
Density of states at the Fermi level ... 2.35 states/eV per cell
E ... -9.064 eV per atom

3.
The following is a DFT calculation (SCAN) of a crystal of KP2Cl relaxed with PBEsol.

a b c (Å): 3.5846 3.5846 23.5216
angles (deg): 90.00 90.00 120.00
Space group R3m (No. 160, hexagonal axes)
Inequivalent atoms, fractional coordinates:
K (0.0000, 0.0000, 0.0000) (multiplicity 3)
P (0.0000, 0.0000, 0.4928) (multiplicity 3)
P (0.0000, 0.0000, 0.7769) (multiplicity 3)
Cl (0.0000, 0.0000, 0.2480) (multiplicity 3)

Computed properties:
Mass density ... 2598 kg/m3
Raw formation energy ... -615 meV/atom
E ... -9.891 eV per atom
Distance to the lowest polymorph of the same formula ... 27 meV per atom

4.
The following is a DFT calculation (SCAN) of a crystal of K2PCl relaxed with PBEsol.

a b c (Å): 3.413 3.413 8.622
angles (deg): 90.00 90.00 90.00
Space group P4/mmm (No. 123)
Inequivalent atoms, fractional coordinates:
K (0.000, 0.000, 0.224) (multiplicity 2)
P (0.500, 0.500, 0.500) (multiplicity 1)
Cl (0.500, 0.500, 0.000) (multiplicity 1)

Computed properties:
Mass density ... 2392 kg/m3
Raw formation energy ... -920 meV/atom
Density of states at the Fermi level ... 1.34 states/eV per cell
E ... -9.678 eV per atom
Distance to the lowest polymorph of the same formula ... 0 meV per atom

5.
The following is a DFT calculation (SCAN) of a crystal of KP2Cl relaxed with PBEsol.

a b c (Å): 3.682 4.817 8.818
angles (deg): 90.00 90.00 90.00
Space group Cmmm (No. 65)
Inequivalent atoms, fractional coordinates:
K (0.000, 0.000, 0.000) (multiplicity 2)
P (0.000, 0.500, 0.287) (multiplicity 4)
Cl (0.000, 0.000, 0.500) (multiplicity 2)

Computed properties:
Mass density ... 2899 kg/m3
Raw formation energy ... 731 meV/atom
Density of states at the Fermi level ... 3.65 states/eV per cell
E ... -8.545 eV per atom
Distance to the lowest polymorph of the same formula ... 1373 meV per atom

6.
The following is a DFT calculation (SCAN) of a crystal of KP2Cl relaxed with PBEsol.

a b c (Å): 3.377 6.658 4.760
angles (deg): 90.00 90.13 90.00
Space group P2/m (No. 10)
Inequivalent atoms, fractional coordinates:
K (0.000, 0.000, 0.000) (multiplicity 1)
P (0.242, 0.500, 0.640) (multiplicity 2)
Cl (0.500, 0.000, 0.500) (multiplicity 1)

Computed properties:
Mass density ... 2118 kg/m3
Raw formation energy ... -642 meV/atom
Density of states at the Fermi level ... 0.73 states/eV per cell
E ... -9.918 eV per atom
Distance to the lowest polymorph of the same formula ... 0 meV per atom

7.
The following is a DFT calculation (SCAN) of a crystal of K2PCl relaxed with PBEsol.

a b c (Å): 5.235 5.266 8.353
angles (deg): 90.00 90.00 90.00
Space group Immm (No. 71)
Inequivalent atoms, fractional coordinates:
K (0.000, 0.000, 0.249) (multiplicity 4)
P (0.000, 0.500, 0.000) (multiplicity 2)
Cl (0.000, 0.500, 0.500) (multiplicity 2)

Computed properties:
Mass density ... 2086 kg/m3
Raw formation energy ... -776 meV/atom
Density of states at the Fermi level ... 0.09 states/eV per cell
E ... -9.535 eV per atom
Distance to the lowest polymorph of the same formula ... 144 meV per atom

8.
The following is a DFT calculation (SCAN) of a crystal of K2PCl relaxed with PBEsol.

a b c (Å): 8.284 8.284 8.274
angles (deg): 90.00 90.00 90.00
Space group I-42d (No. 122)
Inequivalent atoms, fractional coordinates:
K (0.224, 0.750, 0.125) (multiplicity 8)
P (0.000, 0.000, 0.500) (multiplicity 4)
Cl (0.000, 0.000, 0.000) (multiplicity 4)

Computed properties:
Mass density ... 1692 kg/m3
Raw formation energy ... -719 meV/atom
Density of states at the Fermi level ... 6.29 states/eV per cell
E ... -9.478 eV per atom
Distance to the lowest polymorph of the same formula ... 201 meV per atom

9.
The following is a DFT calculation (SCAN) of a crystal of KP2Cl relaxed with PBEsol.

a b c (Å): 6.861 6.861 6.861
angles (deg): 90.00 90.00 90.00
Space group F-43m (No. 216)
Inequivalent atoms, fractional coordinates:
K (0.000, 0.000, 0.000) (multiplicity 4)
P (0.000, 0.000, 0.500) (multiplicity 4)
P (0.250, 0.250, 0.750) (multiplicity 4)
Cl (0.250, 0.250, 0.250) (multiplicity 4)

Computed properties:
Mass density ... 2808 kg/m3
Raw formation energy ... 215 meV/atom
Density of states at the Fermi level ... 6.41 states/eV per cell
E ... -9.061 eV per atom
Distance to the lowest polymorph of the same formula ... 857 meV per atom

10.
The following is a DFT calculation (SCAN) of a crystal of KP2PtCl relaxed with PBEsol.

a b c (Å): 4.439 4.439 7.375
angles (deg): 90.00 90.00 90.00
Space group P4/mmm (No. 123)
Inequivalent atoms, fractional coordinates:
K (0.000, 0.000, 0.000) (multiplicity 1)
P (0.000, 0.500, 0.500) (multiplicity 2)
Pt (0.500, 0.500, 0.500) (multiplicity 1)
Cl (0.500, 0.500, 0.000) (multiplicity 1)

Computed properties:
Mass density ... 3789 kg/m3
Raw formation energy ... -307 meV/atom
Density of states at the Fermi level ... 1.56 states/eV per cell
E ... -21.766 eV per atom

11.
The following is a DFT calculation (SCAN) of a crystal of KReP2Cl relaxed with PBEsol.

a b c (Å): 5.144 5.144 5.061
angles (deg): 90.00 90.00 90.00
Space group P4/mmm (No. 123)
Inequivalent atoms, fractional coordinates:
K (0.000, 0.000, 0.000) (multiplicity 1)
Re (0.500, 0.500, 0.500) (multiplicity 1)
P (0.000, 0.500, 0.000) (multiplicity 2)
Cl (0.000, 0.000, 0.500) (multiplicity 1)

Computed properties:
Mass density ... 4001 kg/m3
Raw formation energy ... 2269 meV/atom
Density of states at the Fermi level ... 2.80 states/eV per cell
E ... -19.372 eV per atom

12.
The following is a DFT calculation (SCAN) of a crystal of KP2SCl relaxed with PBEsol.

a b c (Å): 4.765 4.765 4.829
angles (deg): 90.00 90.00 90.00
Space group P4/mmm (No. 123)
Inequivalent atoms, fractional coordinates:
K (0.000, 0.000, 0.000) (multiplicity 1)
P (0.000, 0.500, 0.500) (multiplicity 2)
S (0.500, 0.500, 0.000) (multiplicity 1)
Cl (0.500, 0.500, 0.500) (multiplicity 1)

Computed properties:
Mass density ... 2553 kg/m3
Raw formation energy ... 823 meV/atom
Density of states at the Fermi level ... 3.76 states/eV per cell
E ... -8.523 eV per atom

13.
The following is a DFT calculation (SCAN) of a crystal of KP2SeCl relaxed with PBEsol.

a b c (Å): 4.614 4.614 6.836
angles (deg): 90.00 90.00 90.00
Space group P4/mmm (No. 123)
Inequivalent atoms, fractional coordinates:
K (0.000, 0.000, 0.000) (multiplicity 1)
P (0.000, 0.500, 0.500) (multiplicity 2)
Se (0.500, 0.500, 0.500) (multiplicity 1)
Cl (0.500, 0.500, 0.000) (multiplicity 1)

Computed properties:
Mass density ... 2458 kg/m3
Raw formation energy ... 137 meV/atom
Density of states at the Fermi level ... 3.29 states/eV per cell
E ... -11.299 eV per atom

14.
The following is a DFT calculation (SCAN) of a crystal of KSnP2Cl relaxed with PBEsol.

a b c (Å): 5.233 5.233 5.240
angles (deg): 90.00 90.00 90.00
Space group P4/mmm (No. 123)
Inequivalent atoms, fractional coordinates:
K (0.000, 0.000, 0.000) (multiplicity 1)
Sn (0.500, 0.500, 0.500) (multiplicity 1)
P (0.000, 0.500, 0.000) (multiplicity 2)
Cl (0.000, 0.000, 0.500) (multiplicity 1)

Computed properties:
Mass density ... 2953 kg/m3
Raw formation energy ... 1086 meV/atom
Density of states at the Fermi level ... 3.06 states/eV per cell
E ... -13.519 eV per atom

15.
The following is a DFT calculation (SCAN) of a crystal of KYP2Cl relaxed with PBEsol.

a b c (Å): 4.978 4.978 5.087
angles (deg): 90.00 90.00 90.00
Space group P4/mmm (No. 123)
Inequivalent atoms, fractional coordinates:
K (0.000, 0.000, 0.000) (multiplicity 1)
Y (0.500, 0.500, 0.500) (multiplicity 1)
P (0.000, 0.500, 0.000) (multiplicity 2)
Cl (0.000, 0.000, 0.500) (multiplicity 1)

Computed properties:
Mass density ... 2969 kg/m3
Raw formation energy ... 405 meV/atom
Density of states at the Fermi level ... 3.01 states/eV per cell
E ... -12.585 eV per atom

16.
The following is a DFT calculation (SCAN) of a crystal of K2PbCl5 relaxed with PBEsol.

a b c (Å): 12.214 8.750 7.928
angles (deg): 90.00 90.00 90.00
Space group Pnma (No. 62)
Inequivalent atoms, fractional coordinates:
K (0.169, 0.009, 0.077) (multiplicity 8)
Pb (0.008, 0.250, 0.575) (multiplicity 4)
Cl (0.009, 0.250, 0.931) (multiplicity 4)
Cl (0.068, 0.546, 0.680) (multiplicity 8)
Cl (0.194, 0.250, 0.389) (multiplicity 4)
Cl (0.209, 0.750, 0.349) (multiplicity 4)

Computed properties:
Mass density ... 3627 kg/m3
Raw formation energy ... -1535 meV/atom
Density of states at the Fermi level ... 20.44 states/eV per cell
E ... -18.076 eV per atom

17.
The following is a DFT calculation (SCAN) of a crystal of KPbCl relaxed with PBEsol.

a b c (Å): 3.540 3.540 14.767
angles (deg): 90.00 90.00 90.00
Space group I4mm (No. 107)
Inequivalent atoms, fractional coordinates:
K (0.000, 0.000, 0.000) (multiplicity 2)
Pb (0.000, 0.000, 0.274) (multiplicity 2)
Cl (0.000, 0.000, 0.606) (multiplicity 2)

Computed properties:
Mass density ... 5055 kg/m3
Raw formation energy ... -864 meV/atom
Density of states at the Fermi level ... 2.99 states/eV per cell
E ... -31.560 eV per atom
Distance to the lowest polymorph of the same formula ... 0 meV per atom

18.
The following is a DFT calculation (SCAN) of a crystal of K2PbCl relaxed with PBEsol.

a b c (Å): 3.758 3.758 10.398
angles (deg): 90.00 90.00 90.00
Space group P4mm (No. 99)
Inequivalent atoms, fractional coordinates:
K (0.000, 0.000, 0.000) (multiplicity 1)
K (0.500, 0.500, 0.414) (multiplicity 1)
Pb (0.000, 0.000, 0.659) (multiplicity 1)
Cl (0.500, 0.500, 0.132) (multiplicity 1)

Computed properties:
Mass density ... 3628 kg/m3
Raw formation energy ... -969 meV/atom
Density of states at the Fermi level ... 2.08 states/eV per cell
E ... -26.073 eV per atom
Distance to the lowest polymorph of the same formula ... 78 meV per atom

19.
The following is a DFT calculation (SCAN) of a crystal of K2PbCl relaxed with PBEsol.

a b c (Å): 3.569 3.823 19.569
angles (deg): 90.00 90.00 90.00
Space group Imm2 (No. 44)
Inequivalent atoms, fractional coordinates:
K (0.000, 0.000, 0.000) (multiplicity 2)
K (0.000, 0.500, 0.204) (multiplicity 2)
Pb (0.000, 0.500, 0.840) (multiplicity 2)
Cl (0.000, 0.000, 0.581) (multiplicity 2)

Computed properties:
Mass density ... 3990 kg/m3
Raw formation energy ... -1047 meV/atom
Density of states at the Fermi level ... 3.60 states/eV per cell
E ... -26.152 eV per atom
Distance to the lowest polymorph of the same formula ... 0 meV per atom

20.
The following is a DFT calculation (SCAN) of a crystal of K2PbCl6 relaxed with PBEsol.

a b c (Å): 7.096 7.371 12.028
angles (deg): 90.00 124.91 90.00
Space group P2_1/c (No. 14)
Inequivalent atoms, fractional coordinates:
K (0.229, 0.068, 0.248) (multiplicity 4)
Pb (0.500, 0.000, 0.000) (multiplicity 2)
Cl (0.171, 0.196, 0.960) (multiplicity 4)
Cl (0.271, 0.715, 0.966) (multiplicity 4)
Cl (0.324, 0.009, 0.748) (multiplicity 4)

Computed properties:
Mass density ... 3207 kg/m3
Raw formation energy ... -1421 meV/atom
Density of states at the Fermi level ... 0.00 states/eV per cell
E ... -17.010 eV per atom